Below is an optimized crystal structure of V4Co2O9, with properties calculated at the GGA+U level.

```
V4Co2O9
1.0
-0.349 3.356 3.810
-4.238 0.229 2.856
5.423 -9.539 8.701
V Co O
8 4 18
Cartesian
3.743 -8.206 10.753
1.123 -3.369 6.426
-2.908 2.252 4.616
-0.477 -0.532 3.814
-0.287 -2.586 8.942
-1.339 -0.570 7.211
2.174 -5.385 8.157
1.312 -5.422 11.554
1.910 -3.362 3.085
-3.402 -1.172 4.134
-1.075 -2.593 12.283
4.237 -4.782 11.234
2.655 -7.001 7.494
1.050 -5.909 9.644
3.767 -4.880 9.154
-1.820 1.047 7.874
-0.214 -0.046 5.724
-2.932 -1.075 6.214
-2.122 -1.560 8.887
0.362 -0.676 8.417
-0.649 -2.553 6.953
0.098 1.367 3.175
-2.303 0.517 3.793
-1.008 -0.654 1.789
2.957 -4.394 6.481
0.473 -5.279 6.951
1.484 -3.401 8.416
0.738 -7.322 12.193
3.139 -6.472 11.575
1.843 -5.301 13.580
```

Output
Crystal system = triclinic
Space group = No. 2
E = -0.27133 hartree per atom
M_tot = 24.0 μB per cell